# Tl3SnBr8 | Alexandria | PBE | optimized geometry
data_Tl3SnBr8
_chemical_formula_sum 'Tl6 Sn2 Br16'
_space_group_name_H-M_alt 'P 63 m c'
_space_group_IT_number 186
_space_group_name_Hall 'P 6c -2c'
_cell_length_a 10.0518
_cell_length_b 10.0518
_cell_length_c 10.5457
_cell_angle_alpha 90.00
_cell_angle_beta 90.00
_cell_angle_gamma 120.00
loop_
_atom_site_label
_atom_site_fract_x
_atom_site_fract_y
_atom_site_fract_z
_atom_site_occupancy
Tl1 0.1696 0.3392 0.0000 1
Sn1 0.3333 0.6667 0.3729 1
Br1 0.0000 0.0000 0.3801 1
Br2 0.0820 0.5410 0.2346 1
Br3 0.2097 0.4195 0.5238 1
Br4 0.3333 0.6667 0.8855 1
# * N(E_F): 13.38 states/eV/f.u.
# * formation energy from raw total energies: -628 meV per atom
# * calculated volume: 923 Å³/cell
# * mass density: 4935 kg/m³


# TlSnBr5 | Alexandria | PBE | optimized geometry
data_TlSnBr5
_chemical_formula_sum 'Tl4 Sn4 Br20'
_space_group_name_H-M_alt 'C 1 2/c 1'
_space_group_IT_number 15
_cell_length_a 8.506
_cell_length_b 12.674
_cell_length_c 10.063
_cell_angle_alpha 90.00
_cell_angle_beta 103.66
_cell_angle_gamma 90.00
loop_
_space_group_symop_operation_xyz
'x,y,z'
'-x,-y,-z'
'-x,y,-z+1/2'
'x,-y,z+1/2'
'x+1/2,y+1/2,z'
'-x+1/2,-y+1/2,-z'
'-x+1/2,y+1/2,-z+1/2'
'x+1/2,-y+1/2,z+1/2'
loop_
_atom_site_label
_atom_site_fract_x
_atom_site_fract_y
_atom_site_fract_z
_atom_site_occupancy
Tl1 0.000 0.113 0.250 1
Sn1 0.000 0.500 0.000 1
Br1 0.000 0.405 0.250 1
Br2 0.108 0.320 0.606 1
Br3 0.201 0.068 0.973 1
# * formation energy from raw total energies: -676 meV per atom
# * calculated volume: 1054 Å³/cell
# * mass density: 4553 kg/m³